{
  "formula": "CrBNF2",
  "functional": "PBE+U",
  "state": "optimized geometry",
  "n_ef_per_ev_cell": 1.1,
  "sg": "P4/mmm",
  "e_above_lowest_polymorph_mev_per_atom": 853,
  "m_tot_mub_per_cell": 2.00,
  "lattice_angstrom": [[-3.590, -0.751, 1.292], [0.770, -3.811, -0.076], [1.303, 0.189, 3.732]],
  "species": ["Cr", "B", "N", "F", "F"],
  "frac_coords": [[0.000, 0.000, 0.000], [0.500, 0.500, 0.500], [0.000, 0.000, 0.500], [0.000, 0.500, 0.000], [0.500, 0.000, 0.000]]
}